# 1
Below is Li2AcTlAu2 after structural relaxation, with properties calculated at the PBE level.

```
data_Li2AcTlAu2
_chemical_formula_sum 'Li2 Ac1 Tl1 Au2'
_cell_length_a 4.672
_cell_length_b 4.672
_cell_length_c 7.209
_cell_angle_alpha 90.00
_cell_angle_beta 90.00
_cell_angle_gamma 120.00
_symmetry_space_group_name_H-M 'P 1'
_symmetry_Int_Tables_number 1
_symmetry_space_group_name_Hall 'P 1'
loop_
_atom_site_label
_atom_site_fract_x
_atom_site_fract_y
_atom_site_fract_z
_atom_site_occupancy
Li1 0.333 0.667 0.147 1
Li2 0.667 0.333 0.853 1
Ac1 0.000 0.000 0.500 1
Tl1 0.000 0.000 0.000 1
Au1 0.333 0.667 0.764 1
Au2 0.667 0.333 0.236 1
```

Properties
The crystal system is trigonal. The calculation puts the formation energy at -0.54 eV/atom. The space group is P-3m1. The value obtained for the total magnetization is 0.00 μB/cell.

=====

# 2
Below is LiAcTmAu after structural relaxation, with properties calculated at the PBE level.

```
data_LiAcTmAu
_chemical_formula_sum 'Li1 Ac1 Tm1 Au1'
_cell_length_a 5.337
_cell_length_b 5.337
_cell_length_c 5.337
_cell_angle_alpha 60.00
_cell_angle_beta 60.00
_cell_angle_gamma 60.00
_symmetry_space_group_name_H-M 'P 1'
_symmetry_Int_Tables_number 1
_symmetry_space_group_name_Hall 'P 1'
loop_
_atom_site_label
_atom_site_fract_x
_atom_site_fract_y
_atom_site_fract_z
_atom_site_occupancy
Li1 0.000 0.000 0.000 1
Ac1 0.250 0.250 0.250 1
Tm1 0.750 0.750 0.750 1
Au1 0.500 0.500 0.500 1
```

Properties
The crystal system is cubic. The calculation puts the formation energy at -0.31 eV/atom. The space group is F-43m. The value obtained for the total magnetization is 0.00 μB/cell.

=====

# 3
Below is LiAcTm2Au4 after structural relaxation, with properties calculated at the PBE level.

```
data_LiAcTm2Au4
_chemical_formula_sum 'Li1 Ac1 Tm2 Au4'
_cell_length_a 9.354
_cell_length_b 9.354
_cell_length_c 9.354
_cell_angle_alpha 30.76
_cell_angle_beta 30.76
_cell_angle_gamma 30.76
_symmetry_space_group_name_H-M 'P 1'
_symmetry_Int_Tables_number 1
_symmetry_space_group_name_Hall 'P 1'
loop_
_atom_site_label
_atom_site_fract_x
_atom_site_fract_y
_atom_site_fract_z
_atom_site_occupancy
Li1 0.000 0.000 0.000 1
Ac1 0.500 0.500 0.500 1
Tm1 0.269 0.269 0.269 1
Tm2 0.731 0.731 0.731 1
Au1 0.101 0.101 0.101 1
Au2 0.378 0.378 0.378 1
Au3 0.622 0.622 0.622 1
Au4 0.899 0.899 0.899 1
```

Properties
The crystal system is trigonal. The calculation puts the formation energy at -0.76 eV/atom. The space group is R-3m. The value obtained for the total magnetization is 0.00 μB/cell.

=====

# 4
Below is Li2AcTmAu4 after structural relaxation, with properties calculated at the PBE level.

```
data_Li2AcTmAu4
_chemical_formula_sum 'Li2 Ac1 Tm1 Au4'
_cell_length_a 9.936
_cell_length_b 9.936
_cell_length_c 9.936
_cell_angle_alpha 26.84
_cell_angle_beta 26.84
_cell_angle_gamma 26.84
_symmetry_space_group_name_H-M 'P 1'
_symmetry_Int_Tables_number 1
_symmetry_space_group_name_Hall 'P 1'
loop_
_atom_site_label
_atom_site_fract_x
_atom_site_fract_y
_atom_site_fract_z
_atom_site_occupancy
Li1 0.239 0.239 0.239 1
Li2 0.761 0.761 0.761 1
Ac1 0.000 0.000 0.000 1
Tm1 0.500 0.500 0.500 1
Au1 0.118 0.118 0.118 1
Au2 0.398 0.398 0.398 1
Au3 0.602 0.602 0.602 1
Au4 0.882 0.882 0.882 1
```

Properties
The crystal system is trigonal. The calculation puts the formation energy at -0.72 eV/atom. The space group is R-3m. The value obtained for the total magnetization is 0.00 μB/cell.

=====

# 5
Below is LiAc2Zn4Au3 after structural relaxation, with properties calculated at the PBE level.

```
data_LiAc2Zn4Au3
_chemical_formula_sum 'Li1 Ac2 Zn4 Au3'
_cell_length_a 4.361
_cell_length_b 4.361
_cell_length_c 11.603
_cell_angle_alpha 90.00
_cell_angle_beta 90.00
_cell_angle_gamma 90.00
_symmetry_space_group_name_H-M 'P 1'
_symmetry_Int_Tables_number 1
_symmetry_space_group_name_Hall 'P 1'
loop_
_atom_site_label
_atom_site_fract_x
_atom_site_fract_y
_atom_site_fract_z
_atom_site_occupancy
Li1 0.000 0.000 0.000 1
Ac1 0.000 0.500 0.745 1
Ac2 0.500 0.000 0.255 1
Zn1 0.000 0.000 0.500 1
Zn2 0.000 0.500 0.130 1
Zn3 0.500 0.000 0.870 1
Zn4 0.500 0.500 0.500 1
Au1 0.000 0.500 0.362 1
Au2 0.500 0.000 0.638 1
Au3 0.500 0.500 0.000 1
```

Properties
The crystal system is tetragonal. The calculation puts the formation energy at -0.51 eV/atom. The space group is P-4m2. The value obtained for the total magnetization is 0.00 μB/cell.

=====

# 6
Below is LiAc2ZnAu6 after structural relaxation, with properties calculated at the PBE level.

```
data_LiAc2ZnAu6
_chemical_formula_sum 'Li1 Ac2 Zn1 Au6'
_cell_length_a 6.931
_cell_length_b 6.931
_cell_length_c 8.448
_cell_angle_alpha 126.73
_cell_angle_beta 126.73
_cell_angle_gamma 51.29
_symmetry_space_group_name_H-M 'P 1'
_symmetry_Int_Tables_number 1
_symmetry_space_group_name_Hall 'P 1'
loop_
_atom_site_label
_atom_site_fract_x
_atom_site_fract_y
_atom_site_fract_z
_atom_site_occupancy
Li1 0.000 0.000 0.000 1
Ac1 0.247 0.247 0.705 1
Ac2 0.753 0.753 0.295 1
Zn1 0.500 0.500 0.500 1
Au1 0.247 0.247 0.107 1
Au2 0.247 0.752 0.751 1
Au3 0.248 0.753 0.249 1
Au4 0.752 0.247 0.751 1
Au5 0.753 0.248 0.249 1
Au6 0.753 0.753 0.893 1
```

Properties
The crystal system is monoclinic. The calculation puts the formation energy at -0.55 eV/atom. The space group is C2/m. The value obtained for the total magnetization is 0.00 μB/cell.

=====

# 7
Below is LiAcZnAu6 after structural relaxation, with properties calculated at the PBE level.

```
data_LiAcZnAu6
_chemical_formula_sum 'Li2 Ac2 Zn2 Au12'
_cell_length_a 9.172
_cell_length_b 9.172
_cell_length_c 9.172
_cell_angle_alpha 140.81
_cell_angle_beta 119.77
_cell_angle_gamma 74.24
_symmetry_space_group_name_H-M 'P 1'
_symmetry_Int_Tables_number 1
_symmetry_space_group_name_Hall 'P 1'
loop_
_atom_site_label
_atom_site_fract_x
_atom_site_fract_y
_atom_site_fract_z
_atom_site_occupancy
Li1 0.500 0.000 0.000 1
Li2 0.500 0.500 0.500 1
Ac1 0.162 0.412 0.750 1
Ac2 0.838 0.588 0.250 1
Zn1 0.000 0.000 0.000 1
Zn2 0.500 0.000 0.500 1
Au1 0.072 0.822 0.250 1
Au2 0.166 0.381 0.247 1
Au3 0.166 0.919 0.785 1
Au4 0.366 0.081 0.747 1
Au5 0.366 0.619 0.285 1
Au6 0.367 0.617 0.750 1
Au7 0.633 0.383 0.250 1
Au8 0.634 0.381 0.715 1
Au9 0.634 0.919 0.253 1
Au10 0.834 0.081 0.215 1
Au11 0.834 0.619 0.753 1
Au12 0.928 0.178 0.750 1
```

Properties
The crystal system is orthorhombic. The calculation puts the formation energy at -0.27 eV/atom. The space group is Imma. The value obtained for the total magnetization is 0.00 μB/cell.

=====

# 8
Below is LiAcZn2Au4 after structural relaxation, with properties calculated at the PBE level.

```
data_LiAcZn2Au4
_chemical_formula_sum 'Li1 Ac1 Zn2 Au4'
_cell_length_a 9.387
_cell_length_b 9.387
_cell_length_c 9.387
_cell_angle_alpha 27.90
_cell_angle_beta 27.90
_cell_angle_gamma 27.90
_symmetry_space_group_name_H-M 'P 1'
_symmetry_Int_Tables_number 1
_symmetry_space_group_name_Hall 'P 1'
loop_
_atom_site_label
_atom_site_fract_x
_atom_site_fract_y
_atom_site_fract_z
_atom_site_occupancy
Li1 0.000 0.000 0.000 1
Ac1 0.500 0.500 0.500 1
Zn1 0.265 0.265 0.265 1
Zn2 0.735 0.735 0.735 1
Au1 0.097 0.097 0.097 1
Au2 0.367 0.367 0.367 1
Au3 0.633 0.633 0.633 1
Au4 0.903 0.903 0.903 1
```

Properties
The crystal system is trigonal. The calculation puts the formation energy at -0.52 eV/atom. The space group is R-3m. The value obtained for the total magnetization is 0.00 μB/cell.

=====

# 9
Below is Li2Ac3ZnAu6 after structural relaxation, with properties calculated at the PBE level.

```
data_Li2Ac3ZnAu6
_chemical_formula_sum 'Li2 Ac3 Zn1 Au6'
_cell_length_a 6.494
_cell_length_b 6.494
_cell_length_c 8.447
_cell_angle_alpha 90.00
_cell_angle_beta 90.00
_cell_angle_gamma 120.00
_symmetry_space_group_name_H-M 'P 1'
_symmetry_Int_Tables_number 1
_symmetry_space_group_name_Hall 'P 1'
loop_
_atom_site_label
_atom_site_fract_x
_atom_site_fract_y
_atom_site_fract_z
_atom_site_occupancy
Li1 0.333 0.667 0.048 1
Li2 0.667 0.333 0.952 1
Ac1 0.000 0.000 0.000 1
Ac2 0.333 0.667 0.629 1
Ac3 0.667 0.333 0.371 1
Zn1 0.000 0.000 0.500 1
Au1 0.182 0.363 0.289 1
Au2 0.182 0.818 0.289 1
Au3 0.363 0.182 0.711 1
Au4 0.637 0.818 0.289 1
Au5 0.818 0.182 0.711 1
Au6 0.818 0.637 0.711 1
```

Properties
The crystal system is trigonal. The calculation puts the formation energy at -0.53 eV/atom. The space group is P-3m1. The value obtained for the total magnetization is 0.00 μB/cell.

=====

# 10
Below is LiAcZn2Au2 after structural relaxation, with properties calculated at the PBE level.

```
data_LiAcZn2Au2
_chemical_formula_sum 'Li1 Ac1 Zn2 Au2'
_cell_length_a 4.572
_cell_length_b 4.572
_cell_length_c 7.070
_cell_angle_alpha 90.00
_cell_angle_beta 90.00
_cell_angle_gamma 120.00
_symmetry_space_group_name_H-M 'P 1'
_symmetry_Int_Tables_number 1
_symmetry_space_group_name_Hall 'P 1'
loop_
_atom_site_label
_atom_site_fract_x
_atom_site_fract_y
_atom_site_fract_z
_atom_site_occupancy
Li1 0.000 0.000 0.000 1
Ac1 0.000 0.000 0.500 1
Zn1 0.333 0.667 0.828 1
Zn2 0.667 0.333 0.172 1
Au1 0.333 0.667 0.211 1
Au2 0.667 0.333 0.789 1
```

Properties
The crystal system is trigonal. The calculation puts the formation energy at -0.56 eV/atom. The space group is P-3m1. The value obtained for the total magnetization is 0.00 μB/cell.

=====

Question: What is the total magnetization in the seventh record?
Answer: 0.00 μB/cell

=====

What did the seventh record say?
Below is LiAcZnAu6 after structural relaxation, with properties calculated at the PBE level.

```
data_LiAcZnAu6
_chemical_formula_sum 'Li2 Ac2 Zn2 Au12'
_cell_length_a 9.172
_cell_length_b 9.172
_cell_length_c 9.172
_cell_angle_alpha 140.81
_cell_angle_beta 119.77
_cell_angle_gamma 74.24
_symmetry_space_group_name_H-M 'P 1'
_symmetry_Int_Tables_number 1
_symmetry_space_group_name_Hall 'P 1'
loop_
_atom_site_label
_atom_site_fract_x
_atom_site_fract_y
_atom_site_fract_z
_atom_site_occupancy
Li1 0.500 0.000 0.000 1
Li2 0.500 0.500 0.500 1
Ac1 0.162 0.412 0.750 1
Ac2 0.838 0.588 0.250 1
Zn1 0.000 0.000 0.000 1
Zn2 0.500 0.000 0.500 1
Au1 0.072 0.822 0.250 1
Au2 0.166 0.381 0.247 1
Au3 0.166 0.919 0.785 1
Au4 0.366 0.081 0.747 1
Au5 0.366 0.619 0.285 1
Au6 0.367 0.617 0.750 1
Au7 0.633 0.383 0.250 1
Au8 0.634 0.381 0.715 1
Au9 0.634 0.919 0.253 1
Au10 0.834 0.081 0.215 1
Au11 0.834 0.619 0.753 1
Au12 0.928 0.178 0.750 1
```

Properties
The crystal system is orthorhombic. The calculation puts the formation energy at -0.27 eV/atom. The space group is Imma. The value obtained for the total magnetization is 0.00 μB/cell.